First-principles (PBE-GGA) data for TmInRu after structural relaxation, as listed in Alexandria via LeMat-Bulk.

a b c (Å): 6.5389 6.5389 7.9416
angles (deg): 114.15 114.15 90.08
Last column: nearest neighbours and their distance in Å.
Positions (direct):
In 0.6637 0.0892 0.2517  4 Ru 2.81-2.83
In 0.9109 0.3363 0.7483  4 Ru 2.81-2.83
In 0.6613 0.5859 0.2483  4 Ru 2.81-2.83
In 0.4141 0.3387 0.7517  4 Ru 2.81-2.83
Tm 0.4176 0.8427 0.7602  4 Ru 2.79-2.87
Tm 0.9073 0.8324 0.7398  4 Ru 2.79-2.87
Tm 0.1574 0.5824 0.2398  4 Ru 2.79-2.87
Tm 0.1675 0.0927 0.2602  4 Ru 2.79-2.87
Ru 0.5378 0.9626 0.4996  4 Tm 2.79-2.87, 4 In 2.81-2.83
Ru 0.2875 0.2129 0.9997  4 Tm 2.79-2.87, 4 In 2.81-2.83
Ru 0.0374 0.4622 0.5004  4 Tm 2.79-2.87, 4 In 2.81-2.83
Ru 0.7871 0.7125 0.0003  4 Tm 2.79-2.87, 4 In 2.81-2.83

Values from the calculation:
Total magnetization in μB per formula unit: 0.000
Energy of formation from the pure elements in eV per atom: -0.188
Calculated volume in Å³/atom: 23.1
E_tot in eV/atom: -5.683